Arrangement i

Here is Re2RhW at its PBEsol-relaxed geometry from Alexandria via LeMat-Bulk. Energies are from meta-GGA SCAN.

Geometry as POSCAR:
```
Re2RhW
1.0
2.739 0.000 0.000
0.000 2.739 0.000
0.000 0.000 7.787
Re Rh W
2 1 1
direct
0.000 0.000 0.000
0.500 0.500 0.240
0.000 0.000 0.489
0.500 0.500 0.739
```

## Properties
Total moment: 0.00 Bohr magnetons per cell
V: 58.4 Å³ per cell
D(E_F): 2.4 states/eV/cell

---

Arrangement ii

Here is Re2RhW at its PBEsol-relaxed geometry from Alexandria via LeMat-Bulk. Energies are from meta-GGA SCAN.

Geometry as POSCAR:
```
Re2RhW
1.0
-1.933 1.933 3.896
1.933 -1.933 3.896
1.933 1.933 -3.896
Re Rh W
2 1 1
direct
0.250 0.750 0.500
0.750 0.250 0.500
0.000 0.000 0.000
0.500 0.500 0.000
```

## Properties
Total moment: 0.00 Bohr magnetons per cell
V: 58.3 Å³ per cell
D(E_F): 2.6 states/eV/cell

---

Computed stability ranking, most favorable first: arrangement i, arrangement ii

---

Arrangement i

Here is Re2RhW at its PBEsol-relaxed geometry from Alexandria via LeMat-Bulk. Energies are from meta-GGA SCAN.

Geometry as POSCAR:
```
Re2RhW
1.0
2.734 0.000 0.000
0.000 3.883 0.000
0.000 0.000 5.500
Re Rh W
2 1 1
direct
0.000 0.000 0.000
0.500 0.500 0.230
0.000 0.000 0.489
0.500 0.500 0.735
```

## Properties
Total moment: 0.00 Bohr magnetons per cell
V: 58.4 Å³ per cell
D(E_F): 3.1 states/eV/cell

---

Arrangement ii

Here is Re2RhW at its PBEsol-relaxed geometry from Alexandria via LeMat-Bulk. Energies are from meta-GGA SCAN.

Geometry as POSCAR:
```
Re2RhW
1.0
3.854 0.000 0.000
0.000 3.854 0.000
0.000 0.000 3.909
Re Rh W
2 1 1
direct
0.000 0.500 0.000
0.500 0.000 0.000
0.000 0.000 0.500
0.500 0.500 0.500
```

## Properties
Total moment: 0.00 Bohr magnetons per cell
V: 58.1 Å³ per cell
D(E_F): 2.6 states/eV/cell

---

Arrangement iii

Here is Re2RhW at its PBEsol-relaxed geometry from Alexandria via LeMat-Bulk. Energies are from meta-GGA SCAN.

Geometry as POSCAR:
```
Re2RhW
1.0
2.649 0.000 0.000
0.000 4.038 0.000
-0.429 0.000 5.508
Re Rh W
2 1 1
direct
0.050 0.000 0.237
0.950 0.000 0.763
0.500 0.500 0.000
0.500 0.500 0.500
```

## Properties
Total moment: 0.00 Bohr magnetons per cell
V: 58.9 Å³ per cell
D(E_F): 2.7 states/eV/cell

---

Arrangement iv

Here is Re2RhW at its PBEsol-relaxed geometry from Alexandria via LeMat-Bulk. Energies are from meta-GGA SCAN.

Geometry as POSCAR:
```
Re2RhW
1.0
0.000 3.091 3.091
3.091 0.000 3.091
3.091 3.091 0.000
Re Rh W
2 1 1
direct
0.250 0.250 0.250
0.750 0.750 0.750
0.000 0.000 0.000
0.500 0.500 0.500
```

## Properties
Total moment: 1.10 Bohr magnetons per cell
V: 59.1 Å³ per cell
D(E_F): 5.1 states/eV/cell

---

Computed stability ranking, most favorable first: arrangement ii, arrangement i, arrangement iii, arrangement iv